(1)
Material: Pr3MgZn2Pd9
Method: DFT, PBE
State: optimized geometry

POSCAR file:
```
Pr3MgZn2Pd9
1.0
7.276 0.000 0.000
-3.638 6.301 0.000
0.000 0.000 6.876
Pr Pd Zn Mg
3 9 2 1
Direct
0.667 0.333 0.331
0.333 0.667 0.669
0.000 0.000 0.000
0.169 0.338 0.335
0.500 0.500 0.000
0.000 0.500 0.000
0.831 0.169 0.665
0.831 0.662 0.665
0.662 0.831 0.335
0.500 0.000 0.000
0.169 0.831 0.335
0.338 0.169 0.665
0.667 0.333 0.837
0.333 0.667 0.163
0.000 0.000 0.500
```

Computed properties:
space-group type	P-3m1

=====

(2)
Material: Pr2MgZn4Pd3
Method: DFT, PBE
State: optimized geometry

POSCAR file:
```
Pr2MgZn4Pd3
1.0
-2.576 -1.660 -2.594
1.600 -3.611 0.721
-8.085 -1.755 9.153
Pr Pd Mg Zn
2 3 1 4
Direct
0.000 0.500 0.765
0.500 0.000 0.235
0.000 0.500 0.141
0.000 0.000 0.500
0.500 0.000 0.859
0.500 0.500 0.500
0.000 0.500 0.354
0.000 0.000 0.000
0.500 0.000 0.646
0.500 0.500 0.000
```

Computed properties:
space-group type	P-4m2

=====

(3)
Material: PrMgZn2Pd4
Method: DFT, PBE
State: optimized geometry

POSCAR file:
```
PrMgZn2Pd4
1.0
-0.367 -0.369 4.382
3.612 0.100 2.533
0.394 8.304 2.954
Pd Zn Mg Pr
4 2 1 1
Direct
0.127 0.127 0.618
0.602 0.602 0.196
0.398 0.398 0.804
0.873 0.873 0.382
0.762 0.762 0.715
0.238 0.238 0.285
0.500 0.500 0.500
0.000 0.000 0.000
```

Computed properties:
space-group type	R-3m

=====

(4)
Material: PrMgZnPd2
Method: DFT, PBE
State: optimized geometry

POSCAR file:
```
PrMgZnPd2
1.0
4.057 0.000 0.000
0.000 4.057 0.000
-2.028 -2.028 6.178
Pr Pd Zn Mg
1 2 1 1
Direct
0.000 0.000 0.000
0.389 0.389 0.779
0.611 0.611 0.221
0.250 0.750 0.500
0.750 0.250 0.500
```

Computed properties:
space-group type	I-4m2

=====

(5)
Material: Mg2PdPt
Method: DFT, PBE
State: optimized geometry

POSCAR file:
```
Mg2PdPt
1.0
-3.986 5.490 -1.887
-4.595 -1.585 5.096
-2.849 3.626 3.425
Mg Pt Pd
4 2 2
Direct
0.126 0.625 0.250
0.875 0.874 0.750
0.624 0.125 0.250
0.375 0.376 0.750
0.000 0.000 0.000
0.750 0.250 0.500
0.500 0.500 0.000
0.250 0.750 0.500
```

Computed properties:
energy above the lowest structure with this stoichiometry	413.8	meV per atom
space-group type	I-42d

=====

(6)
Material: MgPdPt2
Method: DFT, PBE
State: optimized geometry

POSCAR file:
```
MgPdPt2
1.0
-2.391 2.876 -2.468
-1.639 -1.278 -3.970
-4.410 -0.614 -0.511
Mg Pt Pd
1 2 1
Direct
0.750 0.750 0.750
0.250 0.250 0.250
0.000 0.000 0.000
0.500 0.500 0.500
```

Computed properties:
space-group type	F-43m

=====

(7)
Material: Mg2Pd8Pt3
Method: DFT, PBE
State: optimized geometry

POSCAR file:
```
Mg2Pd8Pt3
1.0
-0.113 -4.365 1.639
-2.640 -2.312 -6.339
7.231 -0.381 1.268
Mg Pt Pd
2 3 8
Direct
0.264 0.344 0.689
0.736 0.656 0.311
0.000 0.185 0.000
0.500 0.000 0.000
0.000 0.815 0.000
0.803 0.190 0.379
0.688 0.620 0.652
0.243 0.555 0.111
0.197 0.810 0.621
0.312 0.380 0.348
0.312 0.968 0.348
0.757 0.445 0.889
0.688 0.032 0.652
```

Computed properties:
energy above the lowest structure with this stoichiometry	186.8	meV per atom
space-group type	C2/m

=====

(8)
Material: MgPd4Pt
Method: DFT, PBE
State: optimized geometry

POSCAR file:
```
MgPd4Pt
1.0
4.625 0.000 0.000
0.000 5.378 0.000
-2.312 0.000 8.502
Pd Mg Pt
8 2 2
Direct
0.283 0.155 0.566
0.427 0.910 0.854
0.131 0.657 0.261
0.717 0.655 0.434
0.291 0.655 0.582
0.573 0.410 0.146
0.869 0.157 0.739
0.709 0.155 0.418
0.101 0.156 0.202
0.899 0.656 0.798
0.424 0.400 0.848
0.576 0.900 0.152
```

Computed properties:
energy above the lowest structure with this stoichiometry	285.8	meV per atom
space-group type	Cmc2_1

=====

no.,formation energy (eV/atom)
1,-0.3567
2,-0.5479
3,-0.6309
4,-0.6451
5,-0.3996
6,-0.4298
7,-0.1435
8,-0.0781